# 1
A plane-wave DFT calculation with PBE-GGA was carried out for crystalline Sr2YZr at its relaxed geometry.

Cell: 5.8708 5.8708 5.8708 Å, 60.00 60.00 60.00°
With the nearest neighbours (Å) after each atom.
Fractional positions:
1 Sr 0.0000 0.0000 0.0000  4 Sr 3.60, 4 Y 3.60
2 Sr 0.2500 0.2500 0.2500  4 Zr 3.60, 4 Sr 3.60
3 Y 0.7500 0.7500 0.7500  4 Zr 3.60, 4 Sr 3.60
4 Zr 0.5000 0.5000 0.5000  4 Y 3.60, 4 Sr 3.60

Values from the calculation:
As for the magnetic moment: 2.2 μB per cell. The calculation puts the total energy at -4.1109 eV per atom.


# 2
A plane-wave DFT calculation with PBE-GGA was carried out for crystalline Tl2Zn2Pb3 at its relaxed geometry.

Cell: 8.4168 8.4168 8.4168 Å, 37.12 37.12 37.12°
With the nearest neighbours (Å) after each atom.
Fractional positions:
1 Tl 0.0000 0.0000 0.0000  4 Zn 3.12-3.19, 3 Pb 3.46
2 Tl 0.4092 0.4092 0.4092  5 Pb 3.32-3.51, 6 Zn 3.38-3.40, 3 Tl 3.57
3 Zn 0.1357 0.1357 0.1357  4 Pb 3.10, 4 Tl 3.19-3.40
4 Zn 0.6844 0.6844 0.6844  2 Pb 3.02-3.10, 6 Tl 3.12-3.38
5 Pb 0.2678 0.2678 0.2678  1 Zn 3.10, 3 Pb 3.30, 4 Tl 3.32-3.46
6 Pb 0.5525 0.5525 0.5525  1 Zn 3.10, 3 Pb 3.30, 1 Tl 3.37
7 Pb 0.8130 0.8130 0.8130  4 Zn 3.02-3.10

Values from the calculation:
The calculation puts the total energy at -2.5022 eV per atom.


# 3
A plane-wave DFT calculation with PBE-GGA was carried out for crystalline TaSnAs at its relaxed geometry.

Cell: 4.5470 4.5470 4.5470 Å, 60.00 60.00 60.00°
With the nearest neighbours (Å) after each atom.
Fractional positions:
1 Ta 0.0000 0.0000 0.0000  4 As 2.78
2 Sn 0.5000 0.5000 0.5000  4 As 2.78
3 As 0.7500 0.7500 0.7500  4 Ta 2.78, 4 Sn 2.78

Values from the calculation:
As for the magnetic moment: 0.0 μB per cell. The calculation puts the total energy at -6.2626 eV per atom.


# 4
A plane-wave DFT calculation with PBE-GGA was carried out for crystalline FeSbAs at its relaxed geometry.

Cell: 5.5934 3.0400 6.2677 Å, 90.00 92.56 90.00°
With the nearest neighbours (Å) after each atom.
Fractional positions:
1 Fe 0.0000 0.0000 0.0000  4 As 2.46, 2 Sb 2.48
2 Fe 0.5000 0.5000 0.5000  2 As 2.44, 4 Sb 2.51
3 Sb 0.1919 0.0000 0.6505  3 Fe 2.48-2.51
4 Sb 0.8081 0.0000 0.3495  3 Fe 2.48-2.51
5 As 0.3146 0.5000 0.1399  3 Fe 2.44-2.46
6 As 0.6854 0.5000 0.8601  3 Fe 2.44-2.46

Values from the calculation:
As for the magnetic moment: 0.0 μB per cell. The calculation puts the total energy at -5.7523 eV per atom.


# 5
A plane-wave DFT calculation with PBE-GGA was carried out for crystalline Er2TmCo2B2As3 at its relaxed geometry.

Cell: 11.6634 11.6634 11.6634 Å, 160.84 160.84 27.23°
With the nearest neighbours (Å) after each atom.
Fractional positions:
1 Er 0.1450 0.1450 0.0000  4 As 2.79, 4 Co 3.07, 1 B 3.12
2 Er 0.8550 0.8550 0.0000  4 As 2.79, 4 Co 3.07, 1 B 3.12
3 Tm 0.5000 0.5000 0.0000  6 As 2.75-2.80
4 Co 0.2500 0.7500 0.5000  4 B 2.08
5 Co 0.7500 0.2500 0.5000  4 B 2.08
6 B 0.2827 0.2827 0.0000  4 Co 2.08, 1 As 2.13
7 B 0.7173 0.7173 0.0000  4 Co 2.08, 1 As 2.13
8 As 0.0000 0.0000 0.0000  4 Tm 2.75
9 As 0.3765 0.3765 0.0000  1 B 2.13
10 As 0.6235 0.6235 0.0000  1 B 2.13

Values from the calculation:
As for the magnetic moment: 0.0 μB per cell. The calculation puts the total energy at -6.2736 eV per atom.


# 6
A plane-wave DFT calculation with PBE-GGA was carried out for crystalline TlAg3GeTe4 at its relaxed geometry.

Cell: 6.7600 6.7600 6.7600 Å, 90.00 90.00 90.00°
With the nearest neighbours (Å) after each atom.
Fractional positions:
1 Tl 0.0000 0.0000 0.0000  4 Te 3.12
2 Ag 0.0000 0.5000 0.5000  4 Te 2.87
3 Ag 0.5000 0.0000 0.5000  4 Te 2.87
4 Ag 0.5000 0.5000 0.0000  4 Te 2.87
5 Ge 0.5000 0.5000 0.5000  4 Te 2.73
6 Te 0.2668 0.2668 0.2668  1 Ge 2.73, 3 Ag 2.87
7 Te 0.2668 0.7332 0.7332  1 Ge 2.73, 3 Ag 2.87
8 Te 0.7332 0.2668 0.7332  1 Ge 2.73, 3 Ag 2.87
9 Te 0.7332 0.7332 0.2668  1 Ge 2.73, 3 Ag 2.87

Values from the calculation:
The calculation puts the total energy at -3.1571 eV per atom.


# 7
A plane-wave DFT calculation with PBE-GGA was carried out for crystalline ZrAg at its relaxed geometry.

Cell: 3.4898 3.4898 6.6028 Å, 90.00 90.00 90.00°
With the nearest neighbours (Å) after each atom.
Fractional positions:
1 Zr 0.2500 0.2500 0.1426  5 Ag 2.94-3.12, 4 Zr 3.10
2 Zr 0.7500 0.7500 0.8574  5 Ag 2.94-3.12, 4 Zr 3.10
3 Ag 0.2500 0.2500 0.6151  4 Ag 2.90, 5 Zr 2.94-3.12
4 Ag 0.7500 0.7500 0.3849  4 Ag 2.90, 5 Zr 2.94-3.12

Values from the calculation:
As for the magnetic moment: 0.0 μB per cell. The formation energy is -0.1235 eV per atom.


# 8
A plane-wave DFT calculation with PBE-GGA was carried out for crystalline PrErZn6 at its relaxed geometry.

Cell: 4.7235 4.7235 6.7091 Å, 90.00 90.00 90.00°
With the nearest neighbours (Å) after each atom.
Fractional positions:
1 Pr 0.0000 0.0000 0.0000  8 Zn 2.95
2 Er 0.5000 0.5000 0.5000  8 Zn 2.85
3 Zn 0.0000 0.0000 0.5000  8 Zn 2.85
4 Zn 0.0000 0.5000 0.2635  2 Er 2.85, 5 Zn 2.85-3.17, 2 Pr 2.95
5 Zn 0.0000 0.5000 0.7365  2 Er 2.85, 5 Zn 2.85-3.17, 2 Pr 2.95
6 Zn 0.5000 0.0000 0.2635  2 Er 2.85, 5 Zn 2.85-3.17, 2 Pr 2.95
7 Zn 0.5000 0.0000 0.7365  2 Er 2.85, 5 Zn 2.85-3.17, 2 Pr 2.95
8 Zn 0.5000 0.5000 0.0000  8 Zn 2.95

Values from the calculation:
As for the magnetic moment: 0.0 μB per cell. The formation energy is -0.2745 eV per atom.


# 9
A plane-wave DFT calculation with PBE-GGA was carried out for crystalline PrAsN3 at its relaxed geometry.

Cell: 7.6974 7.6974 3.4279 Å, 90.00 90.00 133.76°
With the nearest neighbours (Å) after each atom.
Fractional positions:
1 Pr 0.1659 0.8341 0.0000  8 N 2.58-2.74
2 Pr 0.8341 0.1659 0.0000  8 N 2.58-2.74
3 As 0.3534 0.6466 0.5000  4 N 2.10-2.31
4 As 0.6466 0.3534 0.5000  4 N 2.10-2.31
5 N 0.0000 0.5000 0.5000  2 As 2.10
6 N 0.1617 0.2474 0.5000  1 N 1.21
7 N 0.2474 0.1617 0.5000  1 N 1.21
8 N 0.5000 0.0000 0.5000  2 As 2.10
9 N 0.7526 0.8383 0.5000  1 N 1.21
10 N 0.8383 0.7526 0.5000  1 N 1.21

Values from the calculation:
As for the magnetic moment: 0.1 μB per cell. The calculation puts the total energy at -7.0402 eV per atom.


# 10
A plane-wave DFT calculation with PBE-GGA was carried out for crystalline TmPb at its relaxed geometry.

Cell: 4.6430 4.6430 6.5511 Å, 90.00 90.00 120.00°
With the nearest neighbours (Å) after each atom.
Fractional positions:
1 Tm 0.3333 0.6667 0.2500  6 Pb 3.14
2 Tm 0.6667 0.3333 0.7500  6 Pb 3.14
3 Pb 0.0000 0.0000 0.0000  6 Tm 3.14, 2 Pb 3.28
4 Pb 0.0000 0.0000 0.5000  6 Tm 3.14, 2 Pb 3.28

Values from the calculation:
As for the magnetic moment: 0.0 μB per cell. The calculation puts the total energy at -4.4253 eV per atom.